(1)
Hf2TiNbC4: relaxed, PBE-GGA.

The structure in POSCAR format:
```
Hf2TiNbC4
1.0
5.549 0.000 0.000
0.000 3.216 0.000
-1.845 0.000 5.237
Hf Ti Nb C
2 1 1 4
direct
0.000 0.000 0.000 Hf
0.500 0.500 0.000 Hf
0.000 0.500 0.500 Ti
0.500 0.000 0.500 Nb
0.245 0.000 0.740 C
0.250 0.500 0.258 C
0.750 0.500 0.742 C
0.755 0.000 0.260 C
```

Properties
E_tot ... -10.146 eV/atom
M_tot ... 0.00 μB per cell
D(E_F) ... 1.161 states/eV/f.u.
Volume ... 93.49 Å³/cell
ΔH_f (0 K) ... -800 meV/atom

(2)
HfTi2NbC: relaxed, PBE-GGA.

The structure in POSCAR format:
```
HfTi2NbC
1.0
4.242 0.000 0.000
0.000 4.242 0.000
0.000 0.000 4.487
Hf Ti Nb C
1 2 1 1
direct
0.000 0.000 0.000 Hf
0.000 0.500 0.500 Ti
0.500 0.000 0.500 Ti
0.500 0.500 0.000 Nb
0.500 0.500 0.500 C
```

Properties
E_tot ... -9.264 eV/atom
M_tot ... 0.00 μB per cell
D(E_F) ... 5.349 states/eV/f.u.
Volume ... 80.73 Å³/cell
ΔH_f (0 K) ... -256 meV/atom

(3)
HfTiNb2C4: relaxed, PBE-GGA.

The structure in POSCAR format:
```
HfTiNb2C4
1.0
5.508 0.000 0.000
0.000 3.181 0.000
-1.840 0.000 5.212
Hf Ti Nb C
1 1 2 4
direct
0.000 0.000 0.000 Hf
0.500 0.500 0.000 Ti
0.000 0.500 0.500 Nb
0.500 0.000 0.500 Nb
0.256 0.000 0.752 C
0.256 0.500 0.252 C
0.744 0.000 0.248 C
0.744 0.500 0.748 C
```

Properties
E_tot ... -10.048 eV/atom
M_tot ... 0.00 μB per cell
D(E_F) ... 2.657 states/eV/f.u.
Volume ... 91.31 Å³/cell
ΔH_f (0 K) ... -688 meV/atom

(4)
HfUNb2C4: relaxed, PBE-GGA.

The structure in POSCAR format:
```
HfUNb2C4
1.0
1.619 0.935 10.972
-1.619 0.935 10.972
0.000 -1.869 10.972
Hf U Nb C
1 1 2 4
direct
0.000 0.000 0.000 Hf
0.245 0.245 0.245 U
0.492 0.492 0.492 Nb
0.747 0.747 0.747 Nb
0.119 0.119 0.119 C
0.375 0.375 0.375 C
0.625 0.625 0.625 C
0.864 0.864 0.864 C
```

Properties
Relative energy among the computed polymorphs ... 40.0 meV/atom
E_tot ... -10.329 eV/atom
M_tot ... 0.28 μB per cell
D(E_F) ... 3.400 states/eV/f.u.
Volume ... 99.58 Å³/cell
ΔH_f (0 K) ... -544 meV/atom

Which of these has the highest ΔH_f (0 K)?
HfTi2NbC